# LiSeBr2Cl

An optimized crystal structure of LiSeBr2Cl (PBE, Alexandria).

Results
M_tot: 2.28 μB per cell
E_tot: -2.04 eV per atom
ΔE to the lowest computed polymorph: 0 kJ/mol of formula units
Energy relative to the elements, uncorrected: 0.078 eV per atom

a = 4.6541 Å, b = 4.6541 Å, c = 7.2125 Å
α = 90.00°, β = 90.00°, γ = 90.00°
Element x y z (fractional)
Li 0.0000 0.0000 0.0000
Se 0.0000 0.0000 0.5000
Br 0.0000 0.5000 0.0000
Br 0.5000 0.0000 0.0000
Cl 0.5000 0.5000 0.5000



# DyTh2Si3Pt4

An optimized crystal structure of DyTh2Si3Pt4 (PBE, Alexandria).

Results
M_tot: 0.00 μB per cell
E_tot: -7.04 eV per atom
Energy relative to the elements, uncorrected: -1.057 eV per atom

a = 4.2434 Å, b = 4.2434 Å, c = 11.0220 Å
α = 90.00°, β = 90.00°, γ = 90.00°
Element x y z (fractional)
Dy 0.0000 0.0000 0.0000
Th 0.0000 0.5000 0.7242
Th 0.5000 0.0000 0.2758
Si 0.0000 0.5000 0.3797
Si 0.5000 0.0000 0.6203
Si 0.5000 0.5000 0.0000
Pt 0.0000 0.0000 0.5000
Pt 0.0000 0.5000 0.1619
Pt 0.5000 0.0000 0.8381
Pt 0.5000 0.5000 0.5000



# Pr3Sm13

An optimized crystal structure of Pr3Sm13 (PBE, Alexandria).

Results
M_tot: 0.00 μB per cell
E_tot: -4.72 eV per atom
ΔE to the lowest computed polymorph: 0 kJ/mol of formula units
Formation energy from the elements: 15 meV per atom

a = 10.2943 Å, b = 7.2940 Å, c = 7.2940 Å
α = 89.99°, β = 90.00°, γ = 90.00°
Element x y z (fractional)
Pr 0.0000 0.0000 0.0000
Pr 0.2504 0.2523 0.2523
Pr 0.7496 0.2523 0.2523
Sm 0.0000 0.0008 0.5026
Sm 0.0000 0.5026 0.0008
Sm 0.0000 0.5033 0.5033
Sm 0.2507 0.2523 0.7511
Sm 0.2507 0.7511 0.2523
Sm 0.2510 0.7511 0.7511
Sm 0.5000 0.0010 0.0010
Sm 0.5000 0.0005 0.5030
Sm 0.5000 0.5030 0.0005
Sm 0.5000 0.5025 0.5025
Sm 0.7493 0.2523 0.7511
Sm 0.7493 0.7511 0.2523
Sm 0.7490 0.7511 0.7511



# AsRh3

An optimized crystal structure of AsRh3 (PBE, Alexandria).

Results
M_tot: 1.06 μB per cell
E_tot: -6.68 eV per atom
Formation energy from the elements: -5 meV per atom

a = 8.4826 Å, b = 8.4826 Å, c = 8.4826 Å
α = 19.41°, β = 19.41°, γ = 19.41°
Element x y z (fractional)
As 0.0000 0.0000 0.0000
Rh 0.2561 0.2561 0.2561
Rh 0.5000 0.5000 0.5000
Rh 0.7439 0.7439 0.7439



# NaVZn

An optimized crystal structure of NaVZn (PBE, Alexandria).

Results
M_tot: 0.00 μB per cell
E_tot: -3.26 eV per atom
ΔE to the lowest computed polymorph: 148 kJ/mol of formula units
Formation energy from the elements: 646 meV per atom

a = 4.8516 Å, b = 4.8516 Å, c = 6.1947 Å
α = 90.00°, β = 90.00°, γ = 120.00°
Element x y z (fractional)
Na 0.0000 0.0000 0.0000
Na 0.0000 0.0000 0.5000
V 0.3333 0.6667 0.1498
V 0.3333 0.6667 0.8502
Zn 0.6667 0.3333 0.2073
Zn 0.6667 0.3333 0.7927



# CaTeAu

An optimized crystal structure of CaTeAu (PBE, Alexandria).

Results
M_tot: 0.00 μB per cell
E_tot: -3.73 eV per atom
ΔE to the lowest computed polymorph: 0 kJ/mol of formula units
Energy relative to the elements, uncorrected: -0.924 eV per atom

a = 6.7624 Å, b = 6.7624 Å, c = 8.5149 Å
α = 109.79°, β = 109.79°, γ = 97.38°
Element x y z (fractional)
Ca 0.2040 0.2917 0.3837
Ca 0.2917 0.2040 0.8837
Ca 0.7083 0.7960 0.1163
Ca 0.7960 0.7083 0.6163
Te 0.3002 0.6998 0.7500
Te 0.3392 0.6608 0.2500
Te 0.6608 0.3392 0.7500
Te 0.6998 0.3002 0.2500
Au 0.1247 0.8751 0.0500
Au 0.1249 0.8753 0.4500
Au 0.8751 0.1247 0.5500
Au 0.8753 0.1249 0.9500



# Sm4Al12Ru

An optimized crystal structure of Sm4Al12Ru (PBE, Alexandria).

Results
M_tot: 0.00 μB per cell
E_tot: -4.79 eV per atom
Formation energy from the elements: -492 meV per atom

a = 7.5714 Å, b = 7.5714 Å, c = 7.5714 Å
α = 109.47°, β = 109.47°, γ = 109.47°
Element x y z (fractional)
Sm 0.0000 0.0000 0.5000
Sm 0.0000 0.5000 0.0000
Sm 0.5000 0.0000 0.0000
Sm 0.5000 0.5000 0.5000
Al 0.0000 0.2847 0.2847
Al 0.0000 0.7153 0.7153
Al 0.2500 0.5000 0.7500
Al 0.2500 0.7500 0.5000
Al 0.2847 0.0000 0.2847
Al 0.2847 0.2847 0.0000
Al 0.5000 0.2500 0.7500
Al 0.5000 0.7500 0.2500
Al 0.7153 0.0000 0.7153
Al 0.7153 0.7153 0.0000
Al 0.7500 0.2500 0.5000
Al 0.7500 0.5000 0.2500
Ru 0.0000 0.0000 0.0000



# NdTm3In3

An optimized crystal structure of NdTm3In3 (PBE, Alexandria).

Results
M_tot: 0.00 μB per cell
E_tot: -4.12 eV per atom
ΔE to the lowest computed polymorph: 0 kJ/mol of formula units
Formation energy from the elements: -353 meV per atom

a = 9.3350 Å, b = 9.3350 Å, c = 5.1587 Å
α = 90.00°, β = 90.00°, γ = 120.00°
Element x y z (fractional)
Nd 0.3333 0.6667 0.2500
Nd 0.6667 0.3333 0.7500
Tm 0.0018 0.7723 0.2500
Tm 0.2277 0.2295 0.2500
Tm 0.2295 0.0018 0.7500
Tm 0.7705 0.9982 0.2500
Tm 0.7723 0.7705 0.7500
Tm 0.9982 0.2277 0.7500
In 0.0707 0.6194 0.7500
In 0.3806 0.4513 0.7500
In 0.4513 0.0707 0.2500
In 0.5487 0.9293 0.7500
In 0.6194 0.5487 0.2500
In 0.9293 0.3806 0.2500